No. 1
TaAg2Os: optimized geometry, PBE.

Lattice parameters (Å, degrees): 3.549 3.549 5.390 90.00 90.00 90.00
Atoms (fractional coordinates):
Os1 0.500 0.500 0.250
Ag1 0.000 0.000 0.497
Ag2 0.000 0.000 0.003
Ta1 0.500 0.500 0.750

Calculated values
polymorph energy (0 for the lowest one)	0.541	eV per atom
total magnetic moment	0.0	μB per formula unit
DOS(E_F)	1.099	states/eV/atom
VASP energy	-6.4400	eV/atom

***

No. 2
Ta2AgOs: optimized geometry, PBE.

Lattice parameters (Å, degrees): 4.086 4.084 3.997 90.00 90.00 90.00
Atoms (fractional coordinates):
Os1 0.000 0.500 0.500
Ta1 0.000 0.000 0.000
Ta2 0.500 0.500 0.000
Ag1 0.500 0.000 0.500

Calculated values
polymorph energy (0 for the lowest one)	0.064	eV per atom
total magnetic moment	0.0	μB per formula unit
DOS(E_F)	0.843	states/eV/atom
VASP energy	-9.3130	eV/atom

***

No. 3
TaAg2Os: optimized geometry, PBE.

Lattice parameters (Å, degrees): 3.204 4.320 4.871 90.00 90.00 90.00
Atoms (fractional coordinates):
Ag1 0.000 0.000 0.000
Ag2 0.500 0.500 0.000
Ta1 0.000 0.500 0.500
Os1 0.500 0.000 0.500

Calculated values
polymorph energy (0 for the lowest one)	0.161	eV per atom
total magnetic moment	0.0	μB per formula unit
DOS(E_F)	0.709	states/eV/atom
VASP energy	-6.8198	eV/atom

***

No. 4
Ta2AgOs: optimized geometry, PBE.

Lattice parameters (Å, degrees): 4.879 4.879 4.879 129.76 129.76 73.80
Atoms (fractional coordinates):
Ta1 0.500 0.500 0.000
Ta2 0.000 0.000 0.000
Ag1 0.250 0.750 0.500
Os1 0.750 0.250 0.500

Calculated values
polymorph energy (0 for the lowest one)	0.049	eV per atom
total magnetic moment	0.0	μB per formula unit
DOS(E_F)	0.648	states/eV/atom
VASP energy	-9.3284	eV/atom

***

No. 5
Ta2AgOs: optimized geometry, PBE.

Lattice parameters (Å, degrees): 5.484 5.484 5.484 146.53 130.08 61.44
Atoms (fractional coordinates):
Ag1 0.491 0.491 0.000
Ta1 0.015 0.015 0.000
Ta2 0.757 0.257 0.500
Os1 0.237 0.737 0.500

Calculated values
polymorph energy (0 for the lowest one)	0.123	eV per atom
total magnetic moment	0.0	μB per formula unit
DOS(E_F)	1.003	states/eV/atom
VASP energy	-9.2541	eV/atom

***

No. 6
TaAgOs2: optimized geometry, PBE.

Lattice parameters (Å, degrees): 4.681 4.681 2.997 90.00 90.00 104.92
Atoms (fractional coordinates):
Os1 0.000 0.000 0.000
Os2 0.500 0.500 0.000
Ta1 0.500 0.000 0.500
Ag1 0.000 0.500 0.500

Calculated values
polymorph energy (0 for the lowest one)	0.151	eV per atom
total magnetic moment	0.0	μB per formula unit
DOS(E_F)	0.940	states/eV/atom
VASP energy	-8.9203	eV/atom

***

No. 7
Ta2AgOs: optimized geometry, PBE.

Lattice parameters (Å, degrees): 7.358 7.358 5.904 51.45 51.45 90.00
Atoms (fractional coordinates):
Ag1 0.500 0.500 0.000
Ag2 0.250 0.750 0.500
Ta1 0.375 0.340 0.750
Ta2 0.660 0.125 0.250
Ta3 0.090 0.625 0.250
Ta4 0.875 0.910 0.750
Os1 0.000 0.000 0.000
Os2 0.750 0.250 0.500

Calculated values
polymorph energy (0 for the lowest one)	0.524	eV per atom
total magnetic moment	0.0	μB per formula unit
DOS(E_F)	0.885	states/eV/atom
VASP energy	-8.8531	eV/atom

***

No. 8
TaAg2Os: optimized geometry, PBE.

Lattice parameters (Å, degrees): 7.523 7.523 5.920 50.55 50.55 90.00
Atoms (fractional coordinates):
Ag1 0.632 0.125 0.250
Ag2 0.375 0.368 0.750
Ag3 0.875 0.882 0.750
Ag4 0.118 0.625 0.250
Ta1 0.500 0.500 0.000
Ta2 0.250 0.750 0.500
Os1 0.000 0.000 0.000
Os2 0.750 0.250 0.500

Calculated values
polymorph energy (0 for the lowest one)	0.874	eV per atom
total magnetic moment	0.4	μB per formula unit
DOS(E_F)	1.003	states/eV/atom
VASP energy	-6.1062	eV/atom

***

No. 9
Ta2AgOs: optimized geometry, PBE.

Lattice parameters (Å, degrees): 3.190 3.190 6.817 90.00 90.00 90.00
Atoms (fractional coordinates):
Ag1 0.000 0.000 0.505
Os1 0.500 0.500 0.774
Ta1 0.500 0.500 0.246
Ta2 0.000 0.000 0.975

Calculated values
polymorph energy (0 for the lowest one)	0.086	eV per atom
total magnetic moment	0.0	μB per formula unit
DOS(E_F)	0.597	states/eV/atom
VASP energy	-9.2912	eV/atom

***

No. 10
TaAgOs2: optimized geometry, PBE.

Lattice parameters (Å, degrees): 3.049 4.696 4.463 90.00 90.00 90.00
Atoms (fractional coordinates):
Os1 0.500 0.500 0.000
Os2 0.000 0.000 0.000
Ta1 0.500 0.000 0.500
Ag1 0.000 0.500 0.500

Calculated values
polymorph energy (0 for the lowest one)	0.324	eV per atom
total magnetic moment	0.0	μB per formula unit
DOS(E_F)	0.886	states/eV/atom
VASP energy	-8.7472	eV/atom

***

No. 11
TaAgOs2: optimized geometry, PBE.

Lattice parameters (Å, degrees): 2.783 2.783 9.122 90.00 90.00 111.96
Atoms (fractional coordinates):
Os1 0.000 0.000 0.018
Os2 0.000 0.000 0.482
Ta1 0.500 0.500 0.250
Ag1 0.500 0.500 0.750

Calculated values
polymorph energy (0 for the lowest one)	0.100	eV per atom
total magnetic moment	0.0	μB per formula unit
DOS(E_F)	0.917	states/eV/atom
VASP energy	-8.9705	eV/atom

***

No. 12
Ta2AgOs: optimized geometry, PBE.

Lattice parameters (Å, degrees): 9.789 9.789 9.789 16.79 16.79 16.79
Atoms (fractional coordinates):
Ta1 0.004 0.004 0.004
Ta2 0.496 0.496 0.496
Os1 0.750 0.750 0.750
Ag1 0.250 0.250 0.250

Calculated values
polymorph energy (0 for the lowest one)	0.152	eV per atom
total magnetic moment	0.0	μB per formula unit
DOS(E_F)	1.281	states/eV/atom
VASP energy	-9.2256	eV/atom

***

No. 13
TaAgOs2: optimized geometry, PBE.

Lattice parameters (Å, degrees): 2.823 2.823 8.136 90.00 90.00 90.00
Atoms (fractional coordinates):
Ta1 0.500 0.500 0.250
Os1 0.000 0.000 0.488
Os2 0.000 0.000 0.012
Ag1 0.500 0.500 0.750

Calculated values
polymorph energy (0 for the lowest one)	0.186	eV per atom
total magnetic moment	0.0	μB per formula unit
DOS(E_F)	1.257	states/eV/atom
VASP energy	-8.8851	eV/atom

***

No. 14
TaAg2Os: optimized geometry, PBE.

Lattice parameters (Å, degrees): 5.263 5.263 4.481 77.10 77.10 33.78
Atoms (fractional coordinates):
Os1 0.250 0.250 0.250
Ta1 0.750 0.750 0.750
Ag1 0.996 0.996 0.003
Ag2 0.504 0.504 0.497

Calculated values
polymorph energy (0 for the lowest one)	0.116	eV per atom
total magnetic moment	0.0	μB per formula unit
DOS(E_F)	0.807	states/eV/atom
VASP energy	-6.8641	eV/atom

***

No. 15
TaAgOs2: optimized geometry, PBE.

Lattice parameters (Å, degrees): 4.952 4.952 4.787 79.14 79.14 33.67
Atoms (fractional coordinates):
Os1 0.012 0.012 0.973
Os2 0.742 0.742 0.766
Ta1 0.493 0.493 0.509
Ag1 0.253 0.253 0.251

Calculated values
polymorph energy (0 for the lowest one)	0.080	eV per atom
total magnetic moment	0.0	μB per formula unit
DOS(E_F)	0.701	states/eV/atom
VASP energy	-8.9909	eV/atom

***

No. 16
Ta2TiAgOs: optimized geometry, PBE.

Lattice parameters (Å, degrees): 4.720 4.498 4.720 90.00 90.00 90.00
Atoms (fractional coordinates):
Ag1 0.500 0.500 0.500
Os1 0.000 0.500 0.000
Ti1 0.000 0.000 0.000
Ta1 0.000 0.000 0.500
Ta2 0.500 0.000 0.000

Calculated values
total magnetic moment	0.0	μB per formula unit
DOS(E_F)	0.744	states/eV/atom
VASP energy	-7.6996	eV/atom

***

No. 17
TaTl2AgOs: optimized geometry, PBE.

Lattice parameters (Å, degrees): 5.547 4.732 5.547 90.00 90.00 90.00
Atoms (fractional coordinates):
Ta1 0.000 0.000 0.000
Ag1 0.500 0.500 0.500
Tl1 0.000 0.000 0.500
Tl2 0.500 0.000 0.000
Os1 0.000 0.500 0.000

Calculated values
total magnetic moment	0.2	μB per formula unit
DOS(E_F)	0.912	states/eV/atom
VASP energy	-4.7898	eV/atom

***

No. 18
Tb5Ag2Os2: optimized geometry, PBE.

Lattice parameters (Å, degrees): 7.499 7.590 8.729 90.00 64.56 90.00
Atoms (fractional coordinates):
Tb1 0.500 0.500 0.000
Tb2 0.695 0.319 0.251
Tb3 0.305 0.681 0.749
Tb4 0.055 0.681 0.251
Tb5 0.805 0.819 0.749
Tb6 0.555 0.819 0.251
Tb7 0.000 0.000 0.000
Tb8 0.195 0.181 0.251
Tb9 0.945 0.319 0.749
Tb10 0.445 0.181 0.749
Ag1 0.217 0.000 0.566
Ag2 0.717 0.500 0.566
Ag3 0.783 0.000 0.434
Ag4 0.283 0.500 0.434
Os1 0.117 0.382 0.000
Os2 0.383 0.882 0.000
Os3 0.883 0.618 0.000
Os4 0.617 0.118 0.000

Calculated values
total magnetic moment	0.0	μB per formula unit
DOS(E_F)	0.695	states/eV/atom
VASP energy	-5.9470	eV/atom

***

No. 19
Tb3AgOs: optimized geometry, PBE.

Lattice parameters (Å, degrees): 5.895 5.895 8.459 102.08 102.07 113.55
Atoms (fractional coordinates):
Tb1 0.923 0.794 0.717
Tb2 0.706 0.577 0.283
Tb3 0.294 0.423 0.717
Tb4 0.305 0.805 0.110
Tb5 0.695 0.195 0.890
Tb6 0.077 0.206 0.283
Os1 0.250 0.250 0.000
Os2 0.750 0.750 0.000
Ag1 0.708 0.208 0.500
Ag2 0.292 0.792 0.500

Calculated values
polymorph energy (0 for the lowest one)	0.000	eV per atom
total magnetic moment	0.0	μB per formula unit
DOS(E_F)	0.904	states/eV/atom
VASP energy	-5.8568	eV/atom

***

No. 20
Tb3AgOs: optimized geometry, PBE.

Lattice parameters (Å, degrees): 4.054 7.919 8.405 108.68 90.00 90.00
Atoms (fractional coordinates):
Os1 0.250 0.375 0.210
Os2 0.750 0.625 0.790
Tb1 0.750 0.326 0.948
Tb2 0.250 0.674 0.052
Tb3 0.250 0.388 0.604
Tb4 0.750 0.114 0.227
Tb5 0.750 0.612 0.396
Tb6 0.250 0.886 0.773
Ag1 0.750 0.075 0.605
Ag2 0.250 0.925 0.395

Calculated values
polymorph energy (0 for the lowest one)	0.050	eV per atom
total magnetic moment	0.0	μB per formula unit
DOS(E_F)	0.820	states/eV/atom
VASP energy	-5.8068	eV/atom

***

No. 21
Tb6AgOs2: optimized geometry, PBE.

Lattice parameters (Å, degrees): 8.490 8.490 8.490 104.16 112.05 112.33
Atoms (fractional coordinates):
Tb1 0.316 0.647 0.331
Tb2 0.684 0.015 0.331
Tb3 0.904 0.721 0.182
Tb4 0.201 0.244 0.444
Tb5 0.316 0.985 0.669
Tb6 0.799 0.756 0.556
Tb7 0.799 0.244 0.043
Tb8 0.684 0.353 0.669
Tb9 0.461 0.279 0.182
Tb10 0.201 0.756 0.957
Tb11 0.096 0.279 0.818
Tb12 0.539 0.721 0.818
Os1 0.322 0.000 0.322
Os2 0.500 0.379 0.879
Os3 0.678 0.000 0.678
Os4 0.500 0.621 0.121
Ag1 0.000 0.500 0.500
Ag2 0.000 0.000 0.000

Calculated values
total magnetic moment	0.0	μB per formula unit
DOS(E_F)	0.946	states/eV/atom
VASP energy	-6.1269	eV/atom

***

No. 22
Tb4Ag3Os: optimized geometry, PBE.

Lattice parameters (Å, degrees): 3.514 3.514 15.000 90.00 90.00 90.00
Atoms (fractional coordinates):
Tb1 0.000 0.000 0.111
Tb2 0.000 0.000 0.373
Tb3 0.000 0.000 0.889
Tb4 0.000 0.000 0.627
Ag1 0.500 0.500 0.246
Ag2 0.500 0.500 0.500
Ag3 0.500 0.500 0.754
Os1 0.500 0.500 0.000

Calculated values
total magnetic moment	0.0	μB per formula unit
DOS(E_F)	0.657	states/eV/atom
VASP energy	-5.0741	eV/atom

***

No. 23
Tb7Ag2Os2: optimized geometry, PBE.

Lattice parameters (Å, degrees): 6.736 7.074 6.736 89.99 106.55 90.01
Atoms (fractional coordinates):
Ag1 0.823 0.500 0.823
Ag2 0.177 0.500 0.177
Tb1 0.500 0.245 0.500
Tb2 0.500 0.755 0.500
Tb3 0.000 0.000 0.000
Tb4 0.500 0.746 0.000
Tb5 0.000 0.746 0.500
Tb6 0.000 0.254 0.500
Tb7 0.500 0.254 0.000
Os1 0.709 0.000 0.291
Os2 0.291 0.000 0.709

Calculated values
total magnetic moment	0.0	μB per formula unit
DOS(E_F)	0.936	states/eV/atom
VASP energy	-5.6315	eV/atom

***

No. 24
Tb5Ag2Os: optimized geometry, PBE.

Lattice parameters (Å, degrees): 7.211 7.211 9.419 112.51 112.51 90.00
Atoms (fractional coordinates):
Ag1 0.129 0.371 0.000
Ag2 0.871 0.629 0.000
Ag3 0.629 0.129 0.000
Ag4 0.371 0.871 0.000
Tb1 0.333 0.833 0.315
Tb2 0.500 0.500 0.000
Tb3 0.167 0.018 0.685
Tb4 0.518 0.667 0.685
Tb5 0.000 0.000 0.000
Tb6 0.667 0.167 0.685
Tb7 0.833 0.982 0.315
Tb8 0.482 0.333 0.315
Tb9 0.018 0.518 0.685
Tb10 0.982 0.482 0.315
Os1 0.250 0.250 0.500
Os2 0.750 0.750 0.500

Calculated values
total magnetic moment	0.0	μB per formula unit
DOS(E_F)	0.908	states/eV/atom
VASP energy	-5.2097	eV/atom

***

No. 25
Tb6AgOs: optimized geometry, PBE.

Lattice parameters (Å, degrees): 5.009 5.009 9.425 74.59 74.59 90.02
Atoms (fractional coordinates):
Tb1 0.403 0.902 0.195
Tb2 0.902 0.403 0.195
Tb3 0.752 0.752 0.496
Tb4 0.597 0.098 0.805
Tb5 0.248 0.248 0.504
Tb6 0.098 0.597 0.805
Ag1 0.500 0.500 0.000
Os1 0.000 0.000 0.000

Calculated values
total magnetic moment	0.0	μB per formula unit
DOS(E_F)	1.278	states/eV/atom
VASP energy	-5.3205	eV/atom

***

No. 26
Tb5Ag4Os: optimized geometry, PBE.

Lattice parameters (Å, degrees): 3.540 3.540 18.656 90.00 90.00 90.00
Atoms (fractional coordinates):
Tb1 0.500 0.500 0.089
Tb2 0.500 0.500 0.703
Tb3 0.500 0.500 0.500
Tb4 0.500 0.500 0.911
Tb5 0.500 0.500 0.297
Ag1 0.000 0.000 0.196
Ag2 0.000 0.000 0.399
Ag3 0.000 0.000 0.804
Ag4 0.000 0.000 0.601
Os1 0.000 0.000 0.000

Calculated values
total magnetic moment	0.0	μB per formula unit
DOS(E_F)	0.592	states/eV/atom
VASP energy	-4.8688	eV/atom